A plane-wave DFT calculation with PBE was carried out for crystalline NiBiSbTe2 at its relaxed geometry.

Lattice parameters (Å, degrees): 5.8485 5.8485 4.6479 90.00 90.00 90.00
Closest atoms and distances in Å follow each position.
Sites, in units of the cell vectors:
Ni (0.0000, 0.0000, 0.0000)  2 Sb 2.32
Bi (0.5000, 0.5000, 0.0000)  8 Te 3.74, 4 Ni 4.14
Sb (0.0000, 0.0000, 0.5000)  2 Ni 2.32
Te (0.0000, 0.5000, 0.5000)  2 Sb 2.92
Te (0.5000, 0.0000, 0.5000)  2 Sb 2.92

ΔE to the lowest computed polymorph (meV/atom): 358
Density (g cm⁻³): 6.73
Formation energy (no corrections) (eV per atom): 0.559
DOS(E_F) (states/eV/cell): 5.0
Space group: P4/mmm (123)